# RbBeMo2O

An optimized crystal structure of RbBeMo2O (GGA+U, Alexandria).

The structure in POSCAR format:
```
RbBeMo2O
1.0
6.150 0.000 0.000
0.000 6.150 0.000
0.000 0.000 4.440
Rb Be Mo O
1 1 2 1
Direct
0.000 0.000 0.000 Rb
0.500 0.500 0.500 Be
0.000 0.500 0.000 Mo
0.500 0.000 0.000 Mo
0.000 0.000 0.500 O
```

As for the symmetry: P4/mmm (123). The total energy is -2.6296 eV/atom.